CsTlSeBr2: relaxed, GGA-PBE.

Unit cell a=6.668 b=6.668 c=5.923 alpha=90.00 beta=90.00 gamma=90.00
Element x y z (fractional)
Cs 0.000 0.000 0.000
Se 0.000 0.000 0.500
Br 0.000 0.500 0.000
Tl 0.500 0.500 0.500
Br 0.500 0.000 0.000

Computed properties:
energy	-11.00	eV for the cell shown
density	3.6	g/cm3
uncorrected formation energy	-0.19	eV per atom
space group	No. 123